Record 1
Li2LaIn: relaxed, PBE-GGA.

a b c (Å): 5.2237 5.2237 5.2275
angles (deg): 60.09 60.09 60.06
Positions (direct):
In1 0.5001 0.5001 0.5010
Li1 0.9999 0.9999 0.9986
Li2 0.7501 0.7501 0.7502
La1 0.2499 0.2499 0.2503

Summary:
ΔE_f ... -0.240 eV/atom
Magnetization ... 0.00 μB per formula unit
SG ... Cm (8)
E ... -3.1136 eV per atom


Record 2
NaTl2Pb4: relaxed, PBE-GGA.

a b c (Å): 3.4666 5.7577 11.3123
angles (deg): 104.74 90.00 90.00
Positions (direct):
Na1 0.0000 0.5000 0.0000
Tl1 0.5000 0.9279 0.8559
Tl2 0.5000 0.0721 0.1441
Pb1 0.5000 0.6504 0.3009
Pb2 0.0000 0.7919 0.5838
Pb3 0.5000 0.3496 0.6991
Pb4 0.0000 0.2081 0.4162

Summary:
ΔE_f ... -0.011 eV/atom
Magnetization ... 0.00 μB per formula unit
SG ... Cmmm (65)
E ... -2.9949 eV per atom


Record 3
V2FeW: relaxed, PBE-GGA.

a b c (Å): 3.0252 4.2234 8.3623
angles (deg): 90.00 90.00 90.00
Positions (direct):
V1 0.0000 0.7500 0.6321
V2 0.0000 0.2500 0.3680
V3 0.0000 0.7500 0.1136
V4 0.0000 0.2500 0.8864
Fe1 0.5000 0.2500 0.1162
Fe2 0.5000 0.7500 0.8838
W1 0.5000 0.2500 0.6335
W2 0.5000 0.7500 0.3665

Summary:
ΔE_f ... -0.075 eV/atom
Magnetization ... 0.41 μB per formula unit
SG ... Pmma (51)
E ... -9.9886 eV per atom


Record 4
KRuRh: relaxed, PBE-GGA.

a b c (Å): 4.5852 4.5852 4.5852
angles (deg): 60.00 60.00 60.00
Positions (direct):
K1 0.2500 0.2500 0.2500
Rh1 0.0000 0.0000 0.0000
Ru1 0.5000 0.5000 0.5000

Summary:
ΔE_f ... 2.274 eV/atom
Magnetization ... 3.19 μB per formula unit
SG ... F-43m (216)
E ... -3.6342 eV per atom


Record 5
LaGe12Os4: relaxed, PBE-GGA.

a b c (Å): 7.5893 7.5893 7.5893
angles (deg): 109.47 109.47 109.47
Positions (direct):
La1 0.0000 0.0000 0.0000
Ge1 0.8425 0.3427 0.1852
Ge2 0.3427 0.5003 0.1575
Ge3 0.8148 0.1575 0.6573
Ge4 0.3427 0.1852 0.8425
Ge5 0.1852 0.8425 0.3427
Ge6 0.6573 0.4997 0.8425
Ge7 0.5003 0.1575 0.3427
Ge8 0.4997 0.8425 0.6573
Ge9 0.6573 0.8148 0.1575
Ge10 0.8425 0.6573 0.4997
Ge11 0.1575 0.3427 0.5003
Ge12 0.1575 0.6573 0.8148
Os1 0.0000 0.5000 0.0000
Os2 0.5000 0.0000 0.0000
Os3 0.5000 0.5000 0.5000
Os4 0.0000 0.0000 0.5000

Summary:
ΔE_f ... 0.071 eV/atom
Magnetization ... 0.00 μB per formula unit
SG ... Im-3 (204)
E ... -6.1206 eV per atom


Record 6
YFe2W: relaxed, PBE-GGA.

a b c (Å): 3.0710 3.0710 7.0163
angles (deg): 90.00 90.00 90.01
Positions (direct):
Fe1 0.0000 0.0000 0.0604
Fe2 0.5000 0.5000 0.2420
W1 0.0000 0.0000 0.4368
Y1 0.5000 0.5000 0.7607

Summary:
ΔE_f ... 0.295 eV/atom
Magnetization ... 3.85 μB per formula unit
SG ... P4mm (99)
E ... -8.7902 eV per atom


Record 7
La7Tb2Ho: relaxed, PBE-GGA.

a b c (Å): 5.7386 9.4322 9.4322
angles (deg): 124.38 90.00 90.00
Positions (direct):
La1 0.0000 0.7715 0.2285
La2 0.0000 0.2285 0.7715
La3 0.5000 0.0695 0.2934
La4 0.5000 0.9305 0.7066
La5 0.5000 0.2934 0.0695
La6 0.5000 0.7066 0.9305
La7 0.5000 0.5000 0.5000
Tb1 0.5000 0.7064 0.2936
Tb2 0.5000 0.2936 0.7064
Ho1 0.0000 0.0000 0.0000

Summary:
ΔE_f ... 0.592 eV/atom
Magnetization ... 0.00 μB per formula unit
SG ... Cmmm (65)
E ... -4.2415 eV per atom


Record 8
Te4Mo3WS4: relaxed, PBE-GGA.

a b c (Å): 3.3567 3.3567 29.1148
angles (deg): 90.00 90.00 120.00
Positions (direct):
Mo1 0.0000 0.0000 0.0012
Mo2 0.3333 0.6667 0.2499
Mo3 0.3333 0.6667 0.7517
Te1 0.0000 0.0000 0.3150
Te2 0.0000 0.0000 0.8167
Te3 0.0000 0.0000 0.1849
Te4 0.0000 0.0000 0.6866
S1 0.3333 0.6667 0.9492
S2 0.3333 0.6667 0.4481
S3 0.3333 0.6667 0.0530
S4 0.3333 0.6667 0.5523
W1 0.0000 0.0000 0.5002

Summary:
Magnetization ... 0.00 μB per formula unit
SG ... P3m1 (156)
E_form (uncorrected) ... -0.49 eV per atom
E ... -6.6966 eV per atom